Here is a relaxed TiAl5Rh6 crystal from the Alexandria database. Energies are from GGA-PBE.

abc: 4.2455 6.1388 6.6994
angles: 90.00 71.57 90.00
Last column: nearest neighbours and their distance in Å.
Element x y z (fractional)
Rh 0.8326 0.7482 0.3347  7 Al 2.61-2.63, 1 Ti 2.63
Rh 0.8326 0.2518 0.3347  7 Al 2.61-2.63, 1 Ti 2.63
Rh 0.5000 0.2531 0.0000  6 Al 2.60-2.63, 2 Ti 2.63
Rh 0.5000 0.7469 0.0000  6 Al 2.60-2.63, 2 Ti 2.63
Rh 0.1674 0.7482 0.6653  7 Al 2.61-2.63, 1 Ti 2.63
Rh 0.1674 0.2518 0.6653  7 Al 2.61-2.63, 1 Ti 2.63
Al 0.6658 0.5000 0.6684  8 Rh 2.60-2.61
Al 0.3330 0.0000 0.3341  8 Rh 2.61-2.63
Al 0.0000 0.5000 0.0000  8 Rh 2.61-2.62
Al 0.6670 0.0000 0.6659  8 Rh 2.61-2.63
Al 0.3342 0.5000 0.3316  8 Rh 2.60-2.61
Ti 0.0000 0.0000 0.0000  8 Rh 2.63

**Calculated total energy**: -6.950 eV/atom

Here is a relaxed UBeGeIr crystal from the Alexandria database. Energies are from GGA-PBE.

abc: 4.0214 4.0214 8.4337
angles: 90.00 90.00 90.00
Last column: nearest neighbours and their distance in Å.
Element x y z (fractional)
U 0.0000 0.5000 0.7625  5 Ge 2.84-3.07, 4 Ir 2.99, 4 Be 3.05
U 0.5000 0.0000 0.2375  5 Ge 2.84-3.07, 4 Ir 2.99, 4 Be 3.05
Be 0.0000 0.5000 0.3667  1 Ge 2.25, 4 Ir 2.30
Be 0.5000 0.0000 0.6333  1 Ge 2.25, 4 Ir 2.30
Ge 0.5000 0.0000 0.9005  1 Be 2.25
Ge 0.0000 0.5000 0.0995  1 Be 2.25
Ir 0.0000 0.0000 0.5000  4 Be 2.30
Ir 0.5000 0.5000 0.5000  4 Be 2.30

**Calculated total energy**: -7.472 eV/atom

Here is a relaxed Sm2CCl crystal from the Alexandria database. Energies are from GGA-PBE.

abc: 3.7104 3.7104 7.4378
angles: 75.56 75.56 60.00
Last column: nearest neighbours and their distance in Å.
Element x y z (fractional)
Sm 0.0634 0.0634 0.8099  3 C 2.52
Sm 0.2703 0.2703 0.1892  3 C 2.54
C 0.6677 0.6677 0.9970  6 Sm 2.52-2.54
Cl 0.4987 0.4987 0.5040  6 Sm 3.06-3.10

**Calculated total energy**: -6.165 eV/atom
**Formation energy from raw total energies**: -100.13 kJ/mol of atoms

Here is a relaxed SrGePt2 crystal from the Alexandria database. Energies are from GGA-PBE.

abc: 5.9109 7.0620 7.7785
angles: 90.00 90.00 90.00
Last column: nearest neighbours and their distance in Å.
Element x y z (fractional)
Sr 0.3677 0.2500 0.0215  8 Pt 3.06-3.36, 3 Ge 3.12-3.20
Sr 0.8677 0.7500 0.4785  8 Pt 3.06-3.36, 3 Ge 3.12-3.20
Sr 0.6323 0.7500 0.9785  8 Pt 3.06-3.36, 3 Ge 3.12-3.20
Sr 0.1323 0.2500 0.5215  8 Pt 3.06-3.36, 3 Ge 3.12-3.20
Ge 0.6352 0.2500 0.3678  6 Pt 2.56-2.71
Ge 0.1352 0.7500 0.1322  6 Pt 2.56-2.71
Ge 0.3648 0.7500 0.6322  6 Pt 2.56-2.71
Ge 0.8648 0.2500 0.8678  6 Pt 2.56-2.71
Pt 0.9055 0.0555 0.1662  3 Ge 2.56-2.71, 1 Pt 2.75
Pt 0.4055 0.9445 0.3338  3 Ge 2.56-2.71, 1 Pt 2.75
Pt 0.0945 0.5555 0.8338  3 Ge 2.56-2.71, 1 Pt 2.75
Pt 0.5945 0.4445 0.6662  3 Ge 2.56-2.71, 1 Pt 2.75
Pt 0.0945 0.9445 0.8338  3 Ge 2.56-2.71, 1 Pt 2.75
Pt 0.5945 0.0555 0.6662  3 Ge 2.56-2.71, 1 Pt 2.75
Pt 0.9055 0.4445 0.1662  3 Ge 2.56-2.71, 1 Pt 2.75
Pt 0.4055 0.5555 0.3338  3 Ge 2.56-2.71, 1 Pt 2.75

**Calculated total energy**: -5.368 eV/atom

Here is a relaxed CsBa3Au crystal from the Alexandria database. Energies are from GGA-PBE.

abc: 6.4147 6.4147 6.4147
angles: 90.00 90.00 90.00
Last column: nearest neighbours and their distance in Å.
Element x y z (fractional)
Cs 0.0000 0.0000 0.0000  6 Ba 3.21
Au 0.5000 0.5000 0.5000  12 Ba 4.54
Ba 0.0000 0.5000 0.0000  2 Cs 3.21
Ba 0.0000 0.0000 0.5000  2 Cs 3.21
Ba 0.5000 0.0000 0.0000  2 Cs 3.21

**Calculated total energy**: -1.193 eV/atom
**Excess energy over the best structure of this formula in the dataset**: 1044.9 meV/atom

Here is a relaxed KSc2Al crystal from the Alexandria database. Energies are from GGA-PBE.

abc: 6.7342 6.7342 6.7342
angles: 151.78 128.43 59.82
Last column: nearest neighbours and their distance in Å.
Element x y z (fractional)
Sc 0.0438 0.0438 0.0000  2 Al 2.91
Sc 0.4562 0.4562 0.0000  2 Al 2.91
K 0.7500 0.2500 0.5000  2 K 3.28, 4 Al 3.36
Al 0.2500 0.7500 0.5000  4 Sc 2.91

**Calculated total energy**: -4.083 eV/atom

Here is a relaxed MgTlOs4 crystal from the Alexandria database. Energies are from GGA-PBE.

abc: 5.2634 5.2634 5.2634
angles: 60.00 60.00 60.00
Last column: nearest neighbours and their distance in Å.
Element x y z (fractional)
Mg 0.0000 0.0000 0.0000  12 Os 3.09, 4 Tl 3.22
Tl 0.7500 0.7500 0.7500  12 Os 3.09, 4 Mg 3.22
Os 0.8758 0.3747 0.3747  6 Os 2.63-2.64
Os 0.3747 0.3747 0.8758  6 Os 2.63-2.64
Os 0.3747 0.8758 0.3747  6 Os 2.63-2.64
Os 0.3747 0.3747 0.3747  6 Os 2.63-2.64

**Calculated total energy**: -7.465 eV/atom

Here is a relaxed ZnCu2Sn2 crystal from the Alexandria database. Energies are from GGA-PBE.

abc: 4.4780 4.4780 6.2083
angles: 68.86 68.86 90.00
Last column: nearest neighbours and their distance in Å.
Element x y z (fractional)
Zn 0.0000 0.0000 0.0000  8 Cu 3.38, 8 Sn 3.48
Sn 0.7500 0.2500 0.5000  4 Cu 2.69
Sn 0.2500 0.7500 0.5000  4 Cu 2.69
Cu 0.3892 0.3892 0.2216  1 Cu 2.37
Cu 0.6108 0.6108 0.7784  1 Cu 2.37

**Calculated total energy**: -3.148 eV/atom
**Excess energy over the best structure of this formula in the dataset**: 246.3 meV/atom

Here is a relaxed CaSb6Rh12 crystal from the Alexandria database. Energies are from GGA-PBE.

abc: 7.4871 7.4871 7.4871
angles: 106.35 106.35 106.35
Last column: nearest neighbours and their distance in Å.
Element x y z (fractional)
Ca 0.0000 0.0000 0.0000  6 Rh 3.25
Sb 0.7040 0.2656 0.2656  7 Rh 2.55-2.73
Sb 0.2656 0.2656 0.7040  7 Rh 2.55-2.73
Sb 0.2656 0.7040 0.2656  7 Rh 2.55-2.73
Sb 0.7344 0.7344 0.2960  7 Rh 2.55-2.73
Sb 0.2960 0.7344 0.7344  7 Rh 2.55-2.73
Sb 0.7344 0.2960 0.7344  7 Rh 2.55-2.73
Rh 0.8777 0.1223 0.5000  4 Sb 2.55-2.60
Rh 0.8291 0.5933 0.5933  3 Sb 2.63-2.73, 2 Rh 2.83
Rh 0.5933 0.5933 0.8291  3 Sb 2.63-2.73, 2 Rh 2.83
Rh 0.4067 0.1709 0.4067  3 Sb 2.63-2.73, 2 Rh 2.83
Rh 0.4067 0.4067 0.1709  3 Sb 2.63-2.73, 2 Rh 2.83
Rh 0.1709 0.4067 0.4067  3 Sb 2.63-2.73, 2 Rh 2.83
Rh 0.1223 0.5000 0.8777  4 Sb 2.55-2.60
Rh 0.5000 0.8777 0.1223  4 Sb 2.55-2.60
Rh 0.1223 0.8777 0.5000  4 Sb 2.55-2.60
Rh 0.8777 0.5000 0.1223  4 Sb 2.55-2.60
Rh 0.5000 0.1223 0.8777  4 Sb 2.55-2.60
Rh 0.5933 0.8291 0.5933  3 Sb 2.63-2.73, 2 Rh 2.83

**Calculated total energy**: -6.326 eV/atom
**Formation energy from raw total energies**: -26.61 kJ/mol of atoms

Here is a relaxed AcPrIO crystal from the Alexandria database. Energies are from GGA-PBE.

abc: 4.6193 4.6193 10.4801
angles: 90.00 90.00 90.00
Last column: nearest neighbours and their distance in Å.
Element x y z (fractional)
Ac 0.7500 0.7500 0.8947  4 O 2.56
Ac 0.2500 0.2500 0.1053  4 O 2.56
Pr 0.2500 0.7500 0.5000  4 Pr 3.27, 4 I 3.35
Pr 0.7500 0.2500 0.5000  4 Pr 3.27, 4 I 3.35
I 0.7500 0.7500 0.2685  4 Pr 3.35, 4 O 3.64, 4 Ac 3.69
I 0.2500 0.2500 0.7315  4 Pr 3.35, 4 O 3.64, 4 Ac 3.69
O 0.7500 0.2500 0.0000  4 Ac 2.56
O 0.2500 0.7500 0.0000  4 Ac 2.56

**Calculated total energy**: -5.659 eV/atom
**Formation energy from raw total energies**: -174.60 kJ/mol of atoms